[1]
Computed, not measured: a relaxed HfBeSi2W crystal at the GGA-PBE level of DFT.

The structure in POSCAR format:
```
HfBeSi2W
1.0
4.1342 0.0000 0.0000
0.0000 4.1342 0.0000
0.0000 0.0000 4.4870
Hf Be Si W
1 1 2 1
Cartesian
0.0000 0.0000 0.0000 Hf
0.0000 0.0000 2.2435 Be
0.0000 2.0671 2.2435 Si
2.0671 0.0000 2.2435 Si
2.0671 2.0671 0.0000 W
```

formation energy without anion corrections	3.9	eV per formula unit
E	-33.63	eV per cell
SG	P4/mmm
crystal system	tetragonal

***

[2]
Computed, not measured: a relaxed Hf2BeSn crystal at the GGA-PBE level of DFT.

The structure in POSCAR format:
```
Hf2BeSn
1.0
-3.7133 3.7133 2.8896
3.7133 -3.7133 2.8896
3.7133 3.7133 -2.8896
Hf Be Sn
4 2 2
Cartesian
5.5700 1.6189 -0.7224 Hf
1.6189 1.8567 0.7224 Hf
-1.8567 2.0944 2.1672 Hf
2.0944 1.8567 3.6119 Hf
0.0000 0.0000 0.0000 Be
0.0000 3.7133 1.4448 Be
3.7133 0.0000 1.4448 Sn
0.0000 0.0000 2.8896 Sn
```

E	-53.63	eV per cell
SG	I-42d
energy above the lowest structure with this stoichiometry	78	kJ/mol of formula units
E_form	0.205	eV per atom
crystal system	tetragonal

***

[3]
Computed, not measured: a relaxed Hf8BeSn2 crystal at the GGA-PBE level of DFT.

The structure in POSCAR format:
```
Hf8BeSn2
1.0
9.0174 -2.3554 0.0000
9.0174 2.3554 0.0000
-1.7701 0.0000 5.5542
Hf Be Sn
8 1 2
Cartesian
-0.1358 0.0000 1.4998 Hf
2.6388 0.0000 4.6545 Hf
5.6123 0.0000 2.5526 Hf
7.4751 0.0000 0.0943 Hf
8.7896 0.0000 5.4599 Hf
10.6525 0.0000 3.0016 Hf
13.6259 0.0000 0.8997 Hf
16.4006 0.0000 4.0545 Hf
8.1324 0.0000 2.7771 Be
2.7662 0.0000 1.5295 Sn
13.4986 0.0000 4.0247 Sn
```

E	-91.87	eV per cell
SG	C2/m
E_form	-0.047	eV per atom
crystal system	monoclinic

***

[4]
Computed, not measured: a relaxed HfBe3Sn crystal at the GGA-PBE level of DFT.

The structure in POSCAR format:
```
HfBe3Sn
1.0
4.7289 0.0000 0.0000
0.0000 4.7289 0.0000
0.0000 0.0000 4.7289
Hf Be Sn
1 3 1
Cartesian
0.0000 0.0000 0.0000 Hf
0.0000 0.0000 2.3644 Be
0.0000 2.3644 0.0000 Be
2.3644 0.0000 0.0000 Be
2.3644 2.3644 2.3644 Sn
```

E	-17.45	eV per cell
SG	Pm-3m
energy above the lowest structure with this stoichiometry	166	kJ/mol of formula units
E_form	1.536	eV per atom
crystal system	cubic

***

[5]
Computed, not measured: a relaxed Hf2Be2Sn crystal at the GGA-PBE level of DFT.

The structure in POSCAR format:
```
Hf2Be2Sn
1.0
-1.8575 2.6533 4.1168
1.8575 -2.6533 4.1168
1.8575 2.6533 -4.1168
Hf Be Sn
2 2 1
Cartesian
0.0000 0.0000 1.7046 Hf
0.0000 0.0000 6.5291 Hf
1.8575 1.0178 0.0000 Be
0.0000 1.6356 4.1168 Be
0.0000 2.6533 0.0000 Sn
```

E	-32.67	eV per cell
SG	Immm
energy above the lowest structure with this stoichiometry	20	kJ/mol of formula units
E_form	-0.262	eV per atom
crystal system	orthorhombic

***

[6]
Computed, not measured: a relaxed Hf3BeSn2 crystal at the GGA-PBE level of DFT.

The structure in POSCAR format:
```
Hf3BeSn2
1.0
11.4487 0.0000 0.0000
0.0000 3.8727 0.0000
0.0000 0.0000 10.9199
Hf Be Sn
12 4 8
Cartesian
0.7092 0.9682 1.2029 Hf
1.3471 2.9045 5.9390 Hf
2.8305 0.9682 8.2617 Hf
2.8939 2.9045 2.8018 Hf
4.3772 0.9682 0.4791 Hf
5.0152 2.9045 6.6628 Hf
6.4335 0.9682 4.2571 Hf
7.0714 2.9045 10.4408 Hf
8.5548 0.9682 8.1181 Hf
8.6182 2.9045 2.6582 Hf
10.1016 0.9682 4.9809 Hf
10.7395 2.9045 9.7170 Hf
1.3521 0.9682 3.9594 Be
4.3723 2.9045 9.4194 Be
7.0764 0.9682 1.5005 Be
10.0966 2.9045 6.9605 Be
0.0031 0.9682 7.6530 Sn
11.4455 2.9045 3.2669 Sn
2.2186 2.9045 10.5767 Sn
3.5058 0.9682 5.1168 Sn
5.7275 0.9682 8.7268 Sn
5.7212 2.9045 2.1931 Sn
7.9429 2.9045 5.8031 Sn
9.2301 0.9682 0.3432 Sn
```

E	-172.81	eV per cell
SG	Pnma
E_form	-0.268	eV per atom
crystal system	orthorhombic

***

[7]
Computed, not measured: a relaxed HfBeSn crystal at the GGA-PBE level of DFT.

The structure in POSCAR format:
```
HfBeSn
1.0
6.0384 0.0000 0.0000
0.0000 6.0384 0.0000
0.0000 0.0000 6.0384
Hf Be Sn
4 4 4
Cartesian
0.8696 0.8696 0.8696 Hf
2.1496 5.1688 3.8887 Hf
3.8887 2.1496 5.1688 Hf
5.1688 3.8887 2.1496 Hf
0.0808 3.1000 5.9575 Be
2.9384 2.9384 2.9384 Be
3.1000 5.9575 0.0808 Be
5.9575 0.0808 3.1000 Be
0.9111 2.1081 3.9303 Sn
2.1081 3.9303 0.9111 Sn
3.9303 0.9111 2.1081 Sn
5.1273 5.1273 5.1273 Sn
```

E	-69.48	eV per cell
SG	P2_13
E_form	0.104	eV per atom
crystal system	cubic

***

[8]
Computed, not measured: a relaxed Hf3BeSn crystal at the GGA-PBE level of DFT.

The structure in POSCAR format:
```
Hf3BeSn
1.0
4.6801 0.0000 0.0000
0.0000 4.6801 0.0000
0.0000 0.0000 4.6801
Hf Be Sn
3 1 1
Cartesian
0.0000 0.0000 2.3401 Hf
0.0000 2.3401 0.0000 Hf
2.3401 0.0000 0.0000 Hf
0.0000 0.0000 0.0000 Be
2.3401 2.3401 2.3401 Sn
```

E	-37.68	eV per cell
SG	Pm-3m
energy above the lowest structure with this stoichiometry	28	kJ/mol of formula units
E_form	-0.018	eV per atom
crystal system	cubic

***

[9]
Computed, not measured: a relaxed HfBe3Sn crystal at the GGA-PBE level of DFT.

The structure in POSCAR format:
```
HfBe3Sn
1.0
4.4573 0.0000 0.0000
0.0000 4.4573 0.0000
0.0000 0.0000 4.4573
Hf Be Sn
1 3 1
Cartesian
0.0000 0.0000 0.0000 Hf
0.0000 2.2287 2.2287 Be
2.2287 0.0000 2.2287 Be
2.2287 2.2287 0.0000 Be
2.2287 2.2287 2.2287 Sn
```

E	-19.18	eV per cell
SG	Pm-3m
energy above the lowest structure with this stoichiometry	0	kJ/mol of formula units
E_form	1.192	eV per atom
crystal system	cubic

***

[10]
Computed, not measured: a relaxed Hf2Be2Sn crystal at the GGA-PBE level of DFT.

The structure in POSCAR format:
```
Hf2Be2Sn
1.0
6.4296 0.0000 0.0000
0.0000 6.4296 0.0000
0.0000 0.0000 3.9159
Hf Be Sn
4 4 2
Cartesian
1.0872 2.1275 0.0000 Hf
2.1275 5.3423 0.0000 Hf
4.3020 1.0872 0.0000 Hf
5.3423 4.3020 0.0000 Hf
0.7378 3.9526 1.9579 Be
2.4770 0.7378 1.9579 Be
3.9526 5.6917 1.9579 Be
5.6917 2.4770 1.9579 Be
0.0000 0.0000 1.9579 Sn
3.2148 3.2148 1.9579 Sn
```

E	-65.77	eV per cell
SG	P4/mbm
energy above the lowest structure with this stoichiometry	0	kJ/mol of formula units
E_form	-0.305	eV per atom
crystal system	tetragonal

***

[11]
Computed, not measured: a relaxed HfBe2Sn crystal at the GGA-PBE level of DFT.

The structure in POSCAR format:
```
HfBe2Sn
1.0
-3.4677 3.4677 2.8246
3.4677 -3.4677 2.8246
3.4677 3.4677 -2.8246
Hf Be Sn
2 4 2
Cartesian
0.0000 0.0000 0.0000 Hf
0.0000 3.4677 1.4123 Hf
1.7339 -1.5935 2.1184 Be
1.8742 1.7339 0.7061 Be
1.7339 5.0612 -0.7061 Be
1.5935 1.7339 3.5307 Be
3.4677 0.0000 1.4123 Sn
0.0000 0.0000 2.8246 Sn
```

E	-39.49	eV per cell
SG	I-42d
E_form	0.416	eV per atom
crystal system	tetragonal

***

[12]
Computed, not measured: a relaxed HfBeSn3 crystal at the GGA-PBE level of DFT.

The structure in POSCAR format:
```
HfBeSn3
1.0
5.5341 0.0000 0.0000
0.0000 5.5341 0.0000
0.0000 0.0000 5.5341
Hf Be Sn
1 1 3
Cartesian
0.0000 0.0000 0.0000 Hf
2.7671 2.7671 2.7671 Be
0.0000 0.0000 2.7671 Sn
0.0000 2.7671 0.0000 Sn
2.7671 0.0000 0.0000 Sn
```

E	-21.20	eV per cell
SG	Pm-3m
energy above the lowest structure with this stoichiometry	164	kJ/mol of formula units
E_form	0.897	eV per atom
crystal system	cubic